[1]
Here is a relaxed structure of CoOsW from the Alexandria database. Energies are from PBE.

Summary:
- Uncorrected energy: -9.84 eV/atom
- Formation enthalpy at 0 K: 588.5 meV/atom
- Calculated density: 14.62 g cm⁻³
- Polymorph energy (0 for the lowest one): 567 meV per atom
- Magnetic moment: 0.0 μB/f.u.
- Crystal system: cubic

a = 5.8163 Å, b = 5.8163 Å, c = 5.8163 Å
α = 90.00°, β = 90.00°, γ = 90.00°
With the nearest neighbours (Å) after each atom.
Positions (direct):
Co 0.0000 0.0000 0.0000  4 W 2.52
Co 0.0000 0.5000 0.5000  4 W 2.52
Co 0.5000 0.0000 0.5000  4 W 2.52
Co 0.5000 0.5000 0.0000  4 W 2.52
Os 0.0000 0.0000 0.5000  4 W 2.52
Os 0.0000 0.5000 0.0000  4 W 2.52
Os 0.5000 0.0000 0.0000  4 W 2.52
Os 0.5000 0.5000 0.5000  4 W 2.52
W 0.2500 0.2500 0.2500  4 Co 2.52, 4 Os 2.52
W 0.2500 0.7500 0.7500  4 Co 2.52, 4 Os 2.52
W 0.7500 0.2500 0.7500  4 Co 2.52, 4 Os 2.52
W 0.7500 0.7500 0.2500  4 Co 2.52, 4 Os 2.52

***

[2]
Here is a relaxed structure of CoOs2W from the Alexandria database. Energies are from PBE.

Summary:
- Uncorrected energy: -10.50 eV/atom
- Formation enthalpy at 0 K: 126.1 meV/atom
- Calculated density: 18.59 g cm⁻³
- Polymorph energy (0 for the lowest one): 122 meV per atom
- Magnetic moment: 0.2 μB/f.u.
- Crystal system: tetragonal

a = 2.7129 Å, b = 2.7129 Å, c = 7.5628 Å
α = 90.00°, β = 90.00°, γ = 90.00°
With the nearest neighbours (Å) after each atom.
Positions (direct):
Co 0.0000 0.0000 0.0000  4 W 2.61, 4 Os 2.65, 4 Co 2.71
Os 0.0000 0.0000 0.4842  8 Os 2.65-2.71, 4 W 2.86
Os 0.5000 0.5000 0.2418  4 Co 2.65, 8 Os 2.65-2.71
W 0.5000 0.5000 0.7652  4 Co 2.61, 4 W 2.71, 4 Os 2.86

***

[3]
Here is a relaxed structure of CoOsW2 from the Alexandria database. Energies are from PBE.

Summary:
- Uncorrected energy: -10.92 eV/atom
- Formation enthalpy at 0 K: 139.0 meV/atom
- Calculated density: 17.72 g cm⁻³
- Polymorph energy (0 for the lowest one): 99 meV per atom
- Magnetic moment: 0.2 μB/f.u.
- Crystal system: monoclinic

a = 8.9522 Å, b = 2.7909 Å, c = 4.7093 Å
α = 90.00°, β = 100.66°, γ = 90.00°
With the nearest neighbours (Å) after each atom.
Positions (direct):
Co 0.0000 0.0000 0.0000  7 W 2.60-2.74, 3 Os 2.69-2.87, 2 Co 2.79
Co 0.5000 0.5000 0.0000  7 W 2.60-2.74, 3 Os 2.69-2.87, 2 Co 2.79
Os 0.2600 0.0000 0.7244  7 W 2.62-2.82, 3 Co 2.69-2.87, 2 Os 2.79
Os 0.7600 0.5000 0.7244  7 W 2.62-2.82, 3 Co 2.69-2.87, 2 Os 2.79
W 0.0069 0.5000 0.5008  3 Os 2.62-2.70, 4 Co 2.73-2.74, 5 W 2.75-2.89
W 0.2420 0.5000 0.1987  3 Co 2.60-2.65, 4 Os 2.66-2.82, 5 W 2.75-2.89
W 0.5069 0.0000 0.5008  3 Os 2.62-2.70, 4 Co 2.73-2.74, 5 W 2.75-2.89
W 0.7420 0.0000 0.1987  3 Co 2.60-2.65, 4 Os 2.66-2.82, 5 W 2.75-2.89

***

[4]
Here is a relaxed structure of Co2OsW from the Alexandria database. Energies are from PBE.

Summary:
- Uncorrected energy: -9.60 eV/atom
- Formation enthalpy at 0 K: 0.7 meV/atom
- Calculated density: 15.97 g cm⁻³
- Polymorph energy (0 for the lowest one): 0 meV per atom
- Magnetic moment: 0.3 μB/f.u.
- Crystal system: tetragonal

a = 3.7073 Å, b = 3.7073 Å, c = 3.7211 Å
α = 90.00°, β = 90.00°, γ = 90.00°
With the nearest neighbours (Å) after each atom.
Positions (direct):
Co 0.0000 0.5000 0.0000  4 Co 2.62, 4 W 2.63, 4 Os 2.63
Co 0.5000 0.0000 0.0000  4 Co 2.62, 4 W 2.63, 4 Os 2.63
Os 0.0000 0.0000 0.5000  4 W 2.62, 8 Co 2.63
W 0.5000 0.5000 0.5000  4 Os 2.62, 8 Co 2.63

***

[5]
Here is a relaxed structure of CoOs2W from the Alexandria database. Energies are from PBE.

Summary:
- Uncorrected energy: -10.40 eV/atom
- Formation enthalpy at 0 K: 230.6 meV/atom
- Calculated density: 18.42 g cm⁻³
- Polymorph energy (0 for the lowest one): 227 meV per atom
- Magnetic moment: 1.3 μB/f.u.
- Crystal system: tetragonal

a = 3.1424 Å, b = 3.1424 Å, c = 5.6894 Å
α = 90.00°, β = 90.00°, γ = 90.00°
With the nearest neighbours (Å) after each atom.
Positions (direct):
Co 0.0000 0.0000 0.0000  8 Os 2.58, 2 W 2.84
Os 0.5000 0.5000 0.2293  4 Co 2.58, 1 Os 2.61, 4 W 2.70
Os 0.5000 0.5000 0.7707  4 Co 2.58, 1 Os 2.61, 4 W 2.70
W 0.0000 0.0000 0.5000  8 Os 2.70, 2 Co 2.84

***

[6]
Here is a relaxed structure of CoOsW2 from the Alexandria database. Energies are from PBE.

Summary:
- Uncorrected energy: -10.82 eV/atom
- Formation enthalpy at 0 K: 243.0 meV/atom
- Calculated density: 17.66 g cm⁻³
- Polymorph energy (0 for the lowest one): 203 meV per atom
- Magnetic moment: 0.0 μB/f.u.
- Crystal system: trigonal

a = 2.7508 Å, b = 2.7508 Å, c = 26.5489 Å
α = 90.00°, β = 90.00°, γ = 120.00°
With the nearest neighbours (Å) after each atom.
Positions (direct):
Co 0.0000 0.0000 0.0000  6 W 2.65, 6 Co 2.75
Co 0.3333 0.6667 0.6667  6 W 2.65, 6 Co 2.75
Co 0.6667 0.3333 0.3333  6 W 2.65, 6 Co 2.75
Os 0.0000 0.0000 0.5000  6 Os 2.75, 6 W 2.79
Os 0.3333 0.6667 0.1667  6 Os 2.75, 6 W 2.79
Os 0.6667 0.3333 0.8333  6 Os 2.75, 6 W 2.79
W 0.0000 0.0000 0.2532  3 Co 2.65, 6 W 2.75, 3 Os 2.79
W 0.0000 0.0000 0.7468  3 Co 2.65, 6 W 2.75, 3 Os 2.79
W 0.3333 0.6667 0.4135  3 Co 2.65, 6 W 2.75, 3 Os 2.79
W 0.3333 0.6667 0.9199  3 Co 2.65, 6 W 2.75, 3 Os 2.79
W 0.6667 0.3333 0.0801  3 Co 2.65, 6 W 2.75, 3 Os 2.79
W 0.6667 0.3333 0.5865  3 Co 2.65, 6 W 2.75, 3 Os 2.79

***

[7]
Here is a relaxed structure of CoOsW2 from the Alexandria database. Energies are from PBE.

Summary:
- Uncorrected energy: -10.87 eV/atom
- Formation enthalpy at 0 K: 189.4 meV/atom
- Calculated density: 17.82 g cm⁻³
- Polymorph energy (0 for the lowest one): 149 meV per atom
- Magnetic moment: 0.0 μB/f.u.
- Crystal system: tetragonal

a = 2.7267 Å, b = 2.7267 Å, c = 7.7308 Å
α = 90.00°, β = 90.00°, γ = 90.00°
With the nearest neighbours (Å) after each atom.
Positions (direct):
Co 0.0000 0.0000 0.0000  4 Os 2.60, 4 W 2.64, 4 Co 2.73
Os 0.5000 0.5000 0.2260  4 Co 2.60, 4 Os 2.73, 4 W 2.76
W 0.0000 0.0000 0.4807  8 W 2.73-2.93, 4 Os 2.76
W 0.5000 0.5000 0.7661  4 Co 2.64, 8 W 2.73-2.93

***

[8]
Here is a relaxed structure of CoOs2W from the Alexandria database. Energies are from PBE.

Summary:
- Uncorrected energy: -10.18 eV/atom
- Formation enthalpy at 0 K: 446.4 meV/atom
- Calculated density: 18.25 g cm⁻³
- Polymorph energy (0 for the lowest one): 443 meV per atom
- Magnetic moment: 0.8 μB/f.u.
- Crystal system: cubic

a = 6.0992 Å, b = 6.0992 Å, c = 6.0992 Å
α = 90.00°, β = 90.00°, γ = 90.00°
With the nearest neighbours (Å) after each atom.
Positions (direct):
Co 0.0000 0.0000 0.0000  4 W 2.64, 4 Os 2.64
Co 0.0000 0.5000 0.5000  4 W 2.64, 4 Os 2.64
Co 0.5000 0.0000 0.5000  4 W 2.64, 4 Os 2.64
Co 0.5000 0.5000 0.0000  4 W 2.64, 4 Os 2.64
Os 0.0000 0.0000 0.5000  4 W 2.64, 4 Os 2.64
Os 0.0000 0.5000 0.0000  4 W 2.64, 4 Os 2.64
Os 0.2500 0.2500 0.7500  4 Co 2.64, 4 Os 2.64
Os 0.2500 0.7500 0.2500  4 Co 2.64, 4 Os 2.64
Os 0.5000 0.0000 0.0000  4 W 2.64, 4 Os 2.64
Os 0.5000 0.5000 0.5000  4 W 2.64, 4 Os 2.64
Os 0.7500 0.2500 0.2500  4 Co 2.64, 4 Os 2.64
Os 0.7500 0.7500 0.7500  4 Co 2.64, 4 Os 2.64
W 0.2500 0.2500 0.2500  4 Co 2.64, 4 Os 2.64
W 0.2500 0.7500 0.7500  4 Co 2.64, 4 Os 2.64
W 0.7500 0.2500 0.7500  4 Co 2.64, 4 Os 2.64
W 0.7500 0.7500 0.2500  4 Co 2.64, 4 Os 2.64

***

[9]
Here is a relaxed structure of CoOsW2 from the Alexandria database. Energies are from PBE.

Summary:
- Uncorrected energy: -10.77 eV/atom
- Formation enthalpy at 0 K: 288.9 meV/atom
- Calculated density: 17.52 g cm⁻³
- Polymorph energy (0 for the lowest one): 248 meV per atom
- Magnetic moment: 0.5 μB/f.u.
- Crystal system: trigonal

a = 2.7480 Å, b = 2.7480 Å, c = 26.8143 Å
α = 90.00°, β = 90.00°, γ = 120.00°
With the nearest neighbours (Å) after each atom.
Positions (direct):
Co 0.0000 0.0000 0.0000  3 W 2.60, 3 Os 2.67, 6 Co 2.75
Co 0.3333 0.6667 0.6667  3 W 2.60, 3 Os 2.67, 6 Co 2.75
Co 0.6667 0.3333 0.3333  3 W 2.60, 3 Os 2.67, 6 Co 2.75
Os 0.0000 0.0000 0.7467  3 Co 2.67, 3 W 2.73, 6 Os 2.75
Os 0.3333 0.6667 0.4134  3 Co 2.67, 3 W 2.73, 6 Os 2.75
Os 0.6667 0.3333 0.0801  3 Co 2.67, 3 W 2.73, 6 Os 2.75
W 0.0000 0.0000 0.2564  3 Co 2.60, 6 W 2.75
W 0.0000 0.0000 0.4965  3 Os 2.73, 9 W 2.75-2.96
W 0.3333 0.6667 0.1631  3 Os 2.73, 9 W 2.75-2.96
W 0.3333 0.6667 0.9230  3 Co 2.60, 6 W 2.75
W 0.6667 0.3333 0.5897  3 Co 2.60, 6 W 2.75
W 0.6667 0.3333 0.8298  3 Os 2.73, 9 W 2.75-2.96

***

[10]
Here is a relaxed structure of Co2OsW from the Alexandria database. Energies are from PBE.

Summary:
- Uncorrected energy: -9.59 eV/atom
- Formation enthalpy at 0 K: 4.5 meV/atom
- Calculated density: 16.02 g cm⁻³
- Polymorph energy (0 for the lowest one): 4 meV per atom
- Magnetic moment: 0.5 μB/f.u.
- Crystal system: orthorhombic

a = 2.6682 Å, b = 4.2060 Å, c = 4.5429 Å
α = 90.00°, β = 90.00°, γ = 90.00°
With the nearest neighbours (Å) after each atom.
Positions (direct):
Co 0.0000 0.0000 0.0000  4 Co 2.56-2.67, 4 Os 2.58, 4 W 2.61-2.66
Co 0.0000 0.5000 0.3214  4 Os 2.53-2.74, 4 Co 2.56-2.67, 4 W 2.61
Os 0.5000 0.5000 0.8479  8 Co 2.53-2.74, 2 W 2.65, 2 Os 2.67
W 0.5000 0.0000 0.4942  8 Co 2.61-2.66, 2 Os 2.65, 2 W 2.67

***

[11]
Here is a relaxed structure of CoOs2W from the Alexandria database. Energies are from PBE.

Summary:
- Uncorrected energy: -9.89 eV/atom
- Formation enthalpy at 0 K: 735.5 meV/atom
- Calculated density: 16.74 g cm⁻³
- Polymorph energy (0 for the lowest one): 732 meV per atom
- Magnetic moment: 0.0 μB/f.u.
- Crystal system: tetragonal

a = 3.7790 Å, b = 3.7790 Å, c = 17.3129 Å
α = 90.00°, β = 90.00°, γ = 90.00°
With the nearest neighbours (Å) after each atom.
Positions (direct):
Co 0.0000 0.0000 0.0000  4 Os 2.49, 4 W 2.67
Co 0.0000 0.5000 0.2500  4 Os 2.49, 4 W 2.67
Co 0.5000 0.0000 0.7500  4 Os 2.49, 4 W 2.67
Co 0.5000 0.5000 0.5000  4 Os 2.49, 4 W 2.67
Os 0.2060 0.2500 0.1250  2 Os 2.45, 2 Co 2.49, 2 W 2.61
Os 0.2500 0.7060 0.3750  2 Os 2.45, 2 Co 2.49, 2 W 2.61
Os 0.2500 0.7940 0.8750  2 Os 2.45, 2 Co 2.49, 2 W 2.61
Os 0.2940 0.2500 0.6250  2 Os 2.45, 2 Co 2.49, 2 W 2.61
Os 0.7060 0.7500 0.6250  2 Os 2.45, 2 Co 2.49, 2 W 2.61
Os 0.7500 0.2060 0.8750  2 Os 2.45, 2 Co 2.49, 2 W 2.61
Os 0.7500 0.2940 0.3750  2 Os 2.45, 2 Co 2.49, 2 W 2.61
Os 0.7940 0.7500 0.1250  2 Os 2.45, 2 Co 2.49, 2 W 2.61
W 0.0000 0.0000 0.5000  4 Os 2.61, 4 Co 2.67
W 0.0000 0.5000 0.7500  4 Os 2.61, 4 Co 2.67
W 0.5000 0.0000 0.2500  4 Os 2.61, 4 Co 2.67
W 0.5000 0.5000 0.0000  4 Os 2.61, 4 Co 2.67

***

[12]
Here is a relaxed structure of CoOsW3 from the Alexandria database. Energies are from PBE.

Summary:
- Uncorrected energy: -9.93 eV/atom
- Formation enthalpy at 0 K: 1505.5 meV/atom
- Calculated density: 15.70 g cm⁻³
- Polymorph energy (0 for the lowest one): 0 meV per atom
- Magnetic moment: 0.0 μB/f.u.
- Crystal system: cubic

a = 4.3911 Å, b = 4.3911 Å, c = 4.3911 Å
α = 90.00°, β = 90.00°, γ = 90.00°
With the nearest neighbours (Å) after each atom.
Positions (direct):
Co 0.0000 0.0000 0.0000  6 W 2.20
Os 0.5000 0.5000 0.5000  12 W 3.10
W 0.0000 0.0000 0.5000  2 Co 2.20
W 0.0000 0.5000 0.0000  2 Co 2.20
W 0.5000 0.0000 0.0000  2 Co 2.20